Record 1
Entry from Alexandria: a relaxed Be2SiW crystal (PBE-GGA).

VASP energy, eV per atom: -6.43
SG: No. 25
E_form (uncorrected), meV per atom: 24
Crystal system: orthorhombic
Size of the total moment, μB/f.u.: 0.0

```
data_Be2SiW
_chemical_formula_sum 'Be2 Si1 W1'
_space_group_name_H-M_alt 'P 1'
_space_group_IT_number 1
_space_group_name_Hall 'P 1'
_cell_length_a 3.912
_cell_length_b 2.645
_cell_length_c 4.613
_cell_angle_alpha 89.99
_cell_angle_beta 90.00
_cell_angle_gamma 90.00
loop_
_atom_site_label
_atom_site_type_symbol
_atom_site_fract_x
_atom_site_fract_y
_atom_site_fract_z
Be1 Be 0.000 0.250 0.003
Be2 Be 0.500 0.250 0.237
Si1 Si 0.000 0.250 0.507
W1 W 0.500 0.750 0.753
```

Record 2
Entry from Alexandria: a relaxed Be2SiW crystal (PBE-GGA).

VASP energy, eV per atom: -6.70
SG: No. 119
E_form (uncorrected), meV per atom: -243
Crystal system: tetragonal
Size of the total moment, μB/f.u.: 0.0

```
data_Be2SiW
_chemical_formula_sum 'Be2 Si1 W1'
_space_group_name_H-M_alt 'P 1'
_space_group_IT_number 1
_space_group_name_Hall 'P 1'
_cell_length_a 4.574
_cell_length_b 4.574
_cell_length_c 4.574
_cell_angle_alpha 136.34
_cell_angle_beta 136.35
_cell_angle_gamma 63.45
loop_
_atom_site_label
_atom_site_type_symbol
_atom_site_fract_x
_atom_site_fract_y
_atom_site_fract_z
Be1 Be 0.000 0.000 0.000
Be2 Be 0.750 0.250 0.500
Si1 Si 0.500 0.500 0.000
W1 W 0.250 0.750 0.500
```

Record 3
Entry from Alexandria: a relaxed Be2SiW crystal (PBE-GGA).

VASP energy, eV per atom: -6.24
SG: No. 12
E_form (uncorrected), meV per atom: 213
Crystal system: monoclinic
Size of the total moment, μB/f.u.: 0.0

```
data_Be2SiW
_chemical_formula_sum 'Be2 Si1 W1'
_space_group_name_H-M_alt 'P 1'
_space_group_IT_number 1
_space_group_name_Hall 'P 1'
_cell_length_a 4.985
_cell_length_b 4.567
_cell_length_c 2.649
_cell_angle_alpha 82.32
_cell_angle_beta 73.34
_cell_angle_gamma 117.56
loop_
_atom_site_label
_atom_site_type_symbol
_atom_site_fract_x
_atom_site_fract_y
_atom_site_fract_z
Be1 Be 0.000 0.000 0.000
Be2 Be 0.500 0.000 0.500
Si1 Si 0.000 0.500 0.500
W1 W 0.500 0.500 0.000
```

Record 4
Entry from Alexandria: a relaxed Be2SiW2 crystal (PBE-GGA).

VASP energy, eV per atom: -7.87
SG: No. 127
E_form (uncorrected), meV per atom: -116
Crystal system: tetragonal
Size of the total moment, μB/f.u.: 0.0

```
data_Be2SiW2
_chemical_formula_sum 'Be4 Si2 W4'
_space_group_name_H-M_alt 'P 1'
_space_group_IT_number 1
_space_group_name_Hall 'P 1'
_cell_length_a 5.890
_cell_length_b 5.890
_cell_length_c 3.362
_cell_angle_alpha 90.00
_cell_angle_beta 90.00
_cell_angle_gamma 90.00
loop_
_atom_site_label
_atom_site_type_symbol
_atom_site_fract_x
_atom_site_fract_y
_atom_site_fract_z
Be1 Be 0.380 0.880 0.000
Be2 Be 0.880 0.620 0.000
Be3 Be 0.620 0.120 0.000
Be4 Be 0.120 0.380 0.000
Si1 Si 0.000 0.000 0.000
Si2 Si 0.500 0.500 0.000
W1 W 0.178 0.678 0.500
W2 W 0.678 0.822 0.500
W3 W 0.822 0.322 0.500
W4 W 0.322 0.178 0.500
```

Record 5
Entry from Alexandria: a relaxed Be4SiW crystal (PBE-GGA).

VASP energy, eV per atom: -5.51
SG: No. 216
E_form (uncorrected), meV per atom: 36
Crystal system: cubic
Size of the total moment, μB/f.u.: 0.0

```
data_Be4SiW
_chemical_formula_sum 'Be4 Si1 W1'
_space_group_name_H-M_alt 'P 1'
_space_group_IT_number 1
_space_group_name_Hall 'P 1'
_cell_length_a 4.377
_cell_length_b 4.377
_cell_length_c 4.377
_cell_angle_alpha 60.00
_cell_angle_beta 60.00
_cell_angle_gamma 60.00
loop_
_atom_site_label
_atom_site_type_symbol
_atom_site_fract_x
_atom_site_fract_y
_atom_site_fract_z
Be1 Be 0.886 0.371 0.371
Be2 Be 0.371 0.371 0.886
Be3 Be 0.371 0.886 0.371
Be4 Be 0.371 0.371 0.371
Si1 Si 0.750 0.750 0.750
W1 W 0.000 0.000 0.000
```

Record 6
Entry from Alexandria: a relaxed Be2SiW crystal (PBE-GGA).

VASP energy, eV per atom: -6.05
SG: No. 166
E_form (uncorrected), meV per atom: 405
Crystal system: trigonal
Size of the total moment, μB/f.u.: 0.0

```
data_Be2SiW
_chemical_formula_sum 'Be2 Si1 W1'
_space_group_name_H-M_alt 'P 1'
_space_group_IT_number 1
_space_group_name_Hall 'P 1'
_cell_length_a 7.875
_cell_length_b 7.875
_cell_length_c 7.875
_cell_angle_alpha 20.09
_cell_angle_beta 20.09
_cell_angle_gamma 20.09
loop_
_atom_site_label
_atom_site_type_symbol
_atom_site_fract_x
_atom_site_fract_y
_atom_site_fract_z
Be1 Be 0.996 0.996 0.996
Be2 Be 0.504 0.504 0.504
Si1 Si 0.250 0.250 0.250
W1 W 0.750 0.750 0.750
```

Record 7
Entry from Alexandria: a relaxed Be2SiW crystal (PBE-GGA).

VASP energy, eV per atom: -6.42
SG: No. 123
E_form (uncorrected), meV per atom: 36
Crystal system: tetragonal
Size of the total moment, μB/f.u.: 0.0

```
data_Be2SiW
_chemical_formula_sum 'Be2 Si1 W1'
_space_group_name_H-M_alt 'P 1'
_space_group_IT_number 1
_space_group_name_Hall 'P 1'
_cell_length_a 3.618
_cell_length_b 3.618
_cell_length_c 3.465
_cell_angle_alpha 90.00
_cell_angle_beta 90.00
_cell_angle_gamma 90.00
loop_
_atom_site_label
_atom_site_type_symbol
_atom_site_fract_x
_atom_site_fract_y
_atom_site_fract_z
Be1 Be 0.000 0.000 0.000
Be2 Be 0.500 0.500 0.000
Si1 Si 0.500 0.000 0.500
W1 W 0.000 0.500 0.500
```

Record 8
Entry from Alexandria: a relaxed Be2SiW crystal (PBE-GGA).

VASP energy, eV per atom: -6.26
SG: No. 65
E_form (uncorrected), meV per atom: 194
Crystal system: orthorhombic
Size of the total moment, μB/f.u.: 0.0

```
data_Be2SiW
_chemical_formula_sum 'Be2 Si1 W1'
_space_group_name_H-M_alt 'P 1'
_space_group_IT_number 1
_space_group_name_Hall 'P 1'
_cell_length_a 4.415
_cell_length_b 4.415
_cell_length_c 2.655
_cell_angle_alpha 90.00
_cell_angle_beta 90.00
_cell_angle_gamma 111.34
loop_
_atom_site_label
_atom_site_type_symbol
_atom_site_fract_x
_atom_site_fract_y
_atom_site_fract_z
Be1 Be 0.000 0.000 0.000
Be2 Be 0.500 0.500 0.000
Si1 Si 0.500 0.000 0.500
W1 W 0.000 0.500 0.500
```

Record 9
Entry from Alexandria: a relaxed YBeSi2 crystal (PBE-GGA).

VASP energy, eV per atom: -5.32
SG: No. 119
E_form (uncorrected), meV per atom: -57
Crystal system: tetragonal
Size of the total moment, μB/f.u.: 0.0

```
data_YBeSi2
_chemical_formula_sum 'Y1 Be1 Si2'
_space_group_name_H-M_alt 'P 1'
_space_group_IT_number 1
_space_group_name_Hall 'P 1'
_cell_length_a 5.205
_cell_length_b 5.205
_cell_length_c 5.205
_cell_angle_alpha 136.13
_cell_angle_beta 136.13
_cell_angle_gamma 63.78
loop_
_atom_site_label
_atom_site_type_symbol
_atom_site_fract_x
_atom_site_fract_y
_atom_site_fract_z
Y1 Y 0.500 0.500 0.000
Be1 Be 0.750 0.250 0.500
Si1 Si 0.000 0.000 0.000
Si2 Si 0.250 0.750 0.500
```

Record 10
Entry from Alexandria: a relaxed Y2BeSi3 crystal (PBE-GGA).

VASP energy, eV per atom: -6.18
SG: No. 69
E_form (uncorrected), meV per atom: -689
Crystal system: orthorhombic
Size of the total moment, μB/f.u.: 0.0
Polymorph energy (0 for the lowest one), meV per atom: 0

```
data_Y2BeSi3
_chemical_formula_sum 'Y4 Be2 Si6'
_space_group_name_H-M_alt 'P 1'
_space_group_IT_number 1
_space_group_name_Hall 'P 1'
_cell_length_a 5.628
_cell_length_b 5.628
_cell_length_c 7.854
_cell_angle_alpha 110.45
_cell_angle_beta 110.45
_cell_angle_gamma 91.41
loop_
_atom_site_label
_atom_site_type_symbol
_atom_site_fract_x
_atom_site_fract_y
_atom_site_fract_z
Y1 Y 0.750 0.250 0.500
Y2 Y 0.754 0.246 0.000
Y3 Y 0.250 0.750 0.500
Y4 Y 0.246 0.754 0.000
Be1 Be 0.666 0.666 0.333
Be2 Be 0.334 0.334 0.667
Si1 Si 0.825 0.825 0.172
Si2 Si 0.653 0.653 0.828
Si3 Si 0.175 0.175 0.828
Si4 Si 0.347 0.347 0.172
Si5 Si 0.173 0.173 0.345
Si6 Si 0.827 0.827 0.655
```

Record 11
Entry from Alexandria: a relaxed YBe2Si2 crystal (PBE-GGA).

VASP energy, eV per atom: -5.29
SG: No. 139
E_form (uncorrected), meV per atom: -340
Crystal system: tetragonal
Size of the total moment, μB/f.u.: 0.0

```
data_YBe2Si2
_chemical_formula_sum 'Y1 Be2 Si2'
_space_group_name_H-M_alt 'P 1'
_space_group_IT_number 1
_space_group_name_Hall 'P 1'
_cell_length_a 3.881
_cell_length_b 3.881
_cell_length_c 5.620
_cell_angle_alpha 69.80
_cell_angle_beta 69.80
_cell_angle_gamma 90.00
loop_
_atom_site_label
_atom_site_type_symbol
_atom_site_fract_x
_atom_site_fract_y
_atom_site_fract_z
Y1 Y 0.000 0.000 0.000
Be1 Be 0.750 0.250 0.500
Be2 Be 0.250 0.750 0.500
Si1 Si 0.377 0.377 0.246
Si2 Si 0.623 0.623 0.754
```

Record 12
Entry from Alexandria: a relaxed YBeSi crystal (PBE-GGA).

VASP energy, eV per atom: -5.58
SG: No. 8
E_form (uncorrected), meV per atom: -375
Crystal system: monoclinic
Size of the total moment, μB/f.u.: 0.0

```
data_YBeSi
_chemical_formula_sum 'Y4 Be4 Si4'
_space_group_name_H-M_alt 'P 1'
_space_group_IT_number 1
_space_group_name_Hall 'P 1'
_cell_length_a 5.923
_cell_length_b 3.839
_cell_length_c 10.161
_cell_angle_alpha 90.00
_cell_angle_beta 104.11
_cell_angle_gamma 90.00
loop_
_atom_site_label
_atom_site_type_symbol
_atom_site_fract_x
_atom_site_fract_y
_atom_site_fract_z
Y1 Y 0.842 0.000 0.854
Y2 Y 0.842 0.500 0.354
Y3 Y 0.290 0.000 0.212
Y4 Y 0.290 0.500 0.712
Be1 Be 0.733 0.000 0.119
Be2 Be 0.733 0.500 0.619
Be3 Be 0.563 0.000 0.514
Be4 Be 0.563 0.500 0.014
Si1 Si 0.385 0.000 0.939
Si2 Si 0.385 0.500 0.439
Si3 Si 0.944 0.000 0.582
Si4 Si 0.944 0.500 0.082
```

Record 13
Entry from Alexandria: a relaxed YBeSi crystal (PBE-GGA).

VASP energy, eV per atom: -5.80
SG: No. 47
E_form (uncorrected), meV per atom: -595
Crystal system: orthorhombic
Size of the total moment, μB/f.u.: 0.0

```
data_YBeSi
_chemical_formula_sum 'Y2 Be2 Si2'
_space_group_name_H-M_alt 'P 1'
_space_group_IT_number 1
_space_group_name_Hall 'P 1'
_cell_length_a 6.732
_cell_length_b 3.872
_cell_length_c 4.046
_cell_angle_alpha 90.00
_cell_angle_beta 90.00
_cell_angle_gamma 90.00
loop_
_atom_site_label
_atom_site_type_symbol
_atom_site_fract_x
_atom_site_fract_y
_atom_site_fract_z
Y1 Y 0.500 0.000 0.500
Y2 Y 0.000 0.500 0.500
Be1 Be 0.339 0.500 0.000
Be2 Be 0.661 0.500 0.000
Si1 Si 0.177 0.000 0.000
Si2 Si 0.823 0.000 0.000
```